5
Lattice="-1.8909 -0.8421 4.1589 5.1582 -0.7812 2.1871 0.2487 4.5233 1.0290" Properties=species:S:1:pos:R:3 comment="PBE ScTaReS2, optimized geometry" dos_at_fermi_per_ev_fu=3.42 energy_ev_per_atom=-6.83 formation_energy_uncorrected_ev_per_atom=0.94 pbc="T T T"
S -0.9455 -0.4210 2.0794
Sc 2.5791 -0.3906 1.0936
Re 1.7580 1.4500 3.6875
S 0.1244 2.2617 0.5145
Ta 0.0000 0.0000 0.0000